No. 1
Crystalline Ta3Mo3W at its relaxed geometry. Source: Alexandria via LeMat-Bulk, functional PBE-GGA.

The structure belongs to space group Cmmm (No. 65); the cell edges are 6.266, 8.993 and 8.883 Å and the angles 90.00°, 90.00° and 90.00°. The asymmetric unit holds Ta at (0.000, 0.000, 0.211), Ta at (0.000, 0.246, 0.500), Ta at (0.000, 0.305, 0.000), Mo at (0.000, 0.500, 0.256), Mo at (0.250, 0.250, 0.243) and W at (0.247, 0.000, 0.500).

The calculation puts the formation enthalpy at 0 K at 0.212 eV/atom. As for the total energy: -11.360 eV/atom.

No. 2
Crystalline TbPmMgZn at its relaxed geometry. Source: Alexandria via LeMat-Bulk, functional PBE-GGA.

The structure belongs to space group F-43m (No. 216); the cell edges are 7.436, 7.436 and 7.436 Å and the angles 90.00°, 90.00° and 90.00°. The asymmetric unit holds Tb at (0.000, 0.000, 0.000), Pm at (0.000, 0.000, 0.500), Mg at (0.250, 0.250, 0.250) and Zn at (0.250, 0.250, 0.750).

The calculation puts the formation enthalpy at 0 K at -0.179 eV/atom. As for the total energy: -3.241 eV/atom.

No. 3
Crystalline K2PrSbSe4 at its relaxed geometry. Source: Alexandria via LeMat-Bulk, functional PBE-GGA.

The structure belongs to space group P2/m (No. 10); the cell edges are 7.497, 4.319 and 8.087 Å and the angles 90.00°, 107.89° and 90.00°. The asymmetric unit holds K at (0.000, 0.000, 0.000), K at (0.500, 0.500, 0.000), Pr at (0.000, 0.500, 0.500), Sb at (0.500, 0.000, 0.500), Se at (0.244, 0.000, 0.710) and Se at (0.271, 0.500, 0.292).

The calculation puts the raw formation energy at -9.745 eV/f.u. As for the total energy: -4.347 eV/atom.

No. 4
Crystalline BaMnS3 at its relaxed geometry. Source: Alexandria via LeMat-Bulk, functional PBE-GGA.

The structure belongs to space group Pm-3m (No. 221); the cell edges are 5.690, 5.690 and 5.690 Å and the angles 90.00°, 90.00° and 90.00°. The asymmetric unit holds Ba at (0.000, 0.000, 0.000), Mn at (0.500, 0.500, 0.500) and S at (0.000, 0.000, 0.500).

The calculation puts the raw formation energy at 3.433 eV/f.u. As for the total energy: -4.008 eV/atom.

No. 5
Crystalline Ti2BeB at its relaxed geometry. Source: Alexandria via LeMat-Bulk, functional PBE-GGA.

The structure belongs to space group R-3m (No. 166, hexagonal axes); the cell edges are 3.0892, 3.0892 and 23.1397 Å and the angles 90.00°, 90.00° and 120.00°. The asymmetric unit holds Ti at (0.0000, 0.0000, 0.1148), Be at (0.0000, 0.0000, 0.0000) and B at (0.0000, 0.0000, 0.5000).

The calculation puts the formation enthalpy at 0 K at 0.419 eV/atom. As for the total energy: -6.130 eV/atom.

No. 6
Crystalline PrP2Rh at its relaxed geometry. Source: Alexandria via LeMat-Bulk, functional PBE-GGA.

The structure belongs to space group R-3m (No. 166, hexagonal axes); the cell edges are 3.9448, 3.9448 and 16.4480 Å and the angles 90.00°, 90.00° and 120.00°. The asymmetric unit holds Pr at (0.0000, 0.0000, 0.0000), P at (0.0000, 0.0000, 0.2247) and Rh at (0.0000, 0.0000, 0.5000).

The calculation puts the formation enthalpy at 0 K at -1.020 eV/atom. As for the total energy: -6.758 eV/atom.

No. 7
Crystalline SmTeCl at its relaxed geometry. Source: Alexandria via LeMat-Bulk, functional PBE-GGA.

The structure belongs to space group F-43m (No. 216); the cell edges are 7.245, 7.245 and 7.245 Å and the angles 90.00°, 90.00° and 90.00°. The asymmetric unit holds Sm at (0.000, 0.000, 0.000), Te at (0.250, 0.250, 0.250) and Cl at (0.250, 0.250, 0.750).

The calculation puts the raw formation energy at -4.941 eV/f.u. As for the total energy: -4.883 eV/atom.

No. 8
Crystalline Tb15Y2Tm2 at its relaxed geometry. Source: Alexandria via LeMat-Bulk, functional PBE-GGA.

The structure belongs to space group R-3m (No. 166, hexagonal axes); the cell edges are 11.1386, 11.1386 and 17.6566 Å and the angles 90.00°, 90.00° and 120.00°. The asymmetric unit holds Tb at (0.0000, 0.2972, 0.0000), Tb at (0.0000, 0.5000, 0.5000), Tb at (0.0145, 0.5073, 0.1349), Y at (0.0000, 0.0000, 0.3206) and Tm at (0.0000, 0.0000, 0.0950).

The calculation puts the formation enthalpy at 0 K at 0.274 eV/atom. As for the total energy: -4.533 eV/atom.

No. 9
Crystalline B2H6Rh at its relaxed geometry. Source: Alexandria via LeMat-Bulk, functional PBE-GGA.

The structure belongs to space group P-1 (No. 2); the cell edges are 2.664, 4.512 and 6.451 Å and the angles 94.62°, 93.48° and 103.71°. The asymmetric unit holds B at (0.132, 0.214, 0.229), H at (0.144, 0.251, 0.416), H at (0.371, 0.704, 0.167), H at (0.374, 0.494, 0.147) and Rh at (0.500, 0.000, 0.000).

As for the total energy: -4.216 eV/atom.

No. 10
Crystalline Th2NpPaAs4 at its relaxed geometry. Source: Alexandria via LeMat-Bulk, functional PBE-GGA.

The structure belongs to space group P2/m (No. 10); the cell edges are 7.235, 4.185 and 7.244 Å and the angles 90.00°, 109.53° and 90.00°. The asymmetric unit holds Th at (0.000, 0.000, 0.000), Th at (0.500, 0.500, 0.000), Np at (0.000, 0.500, 0.500), Pa at (0.500, 0.000, 0.500), As at (0.247, 0.000, 0.739) and As at (0.255, 0.500, 0.261).

The calculation puts the formation enthalpy at 0 K at -1.134 eV/atom. As for the total energy: -8.119 eV/atom.

No. 11
Crystalline AgPb2F11 at its relaxed geometry. Source: Alexandria via LeMat-Bulk, functional PBE-GGA.

The structure belongs to space group Ibam (No. 72); the cell edges are 8.154, 10.695 and 10.677 Å and the angles 90.00°, 90.00° and 90.00°. The asymmetric unit holds Ag at (0.000, 0.000, 0.250), Pb at (0.076, 0.303, 0.000), F at (0.000, 0.500, 0.000), F at (0.006, 0.128, 0.382), F at (0.149, 0.353, 0.173) and F at (0.190, 0.306, 0.500).

The calculation puts the raw formation energy at -21.512 eV/f.u. As for the total energy: -3.740 eV/atom.

No. 12
Crystalline HgMoPb3 at its relaxed geometry. Source: Alexandria via LeMat-Bulk, functional PBE-GGA.

The structure belongs to space group Pm-3m (No. 221); the cell edges are 5.428, 5.428 and 5.428 Å and the angles 90.00°, 90.00° and 90.00°. The asymmetric unit holds Hg at (0.000, 0.000, 0.000), Mo at (0.500, 0.500, 0.500) and Pb at (0.000, 0.500, 0.500).

The calculation puts the formation enthalpy at 0 K at 0.348 eV/atom. As for the total energy: -4.103 eV/atom.

No. 13
Crystalline NpCuSn at its relaxed geometry. Source: Alexandria via LeMat-Bulk, functional PBE-GGA.

The structure belongs to space group Immm (No. 71); the cell edges are 4.611, 5.601 and 9.389 Å and the angles 90.00°, 90.00° and 90.00°. The asymmetric unit holds Np at (0.000, 0.240, 0.000), Cu at (0.000, 0.000, 0.357) and Sn at (0.000, 0.500, 0.305).

The calculation puts the formation enthalpy at 0 K at -0.032 eV/atom. As for the total energy: -7.045 eV/atom.

No. 14
Crystalline Sr2MnZn at its relaxed geometry. Source: Alexandria via LeMat-Bulk, functional PBE-GGA.

The structure belongs to space group P4/mmm (No. 123); the cell edges are 5.542, 5.542 and 3.914 Å and the angles 90.00°, 90.00° and 90.00°. The asymmetric unit holds Sr at (0.000, 0.500, 0.000), Mn at (0.000, 0.000, 0.500) and Zn at (0.500, 0.500, 0.500).

The calculation puts the formation enthalpy at 0 K at 0.242 eV/atom. As for the total energy: -3.210 eV/atom.

No. 15
Crystalline ZrMoPt at its relaxed geometry. Source: Alexandria via LeMat-Bulk, functional PBE-GGA.

The structure belongs to space group Immm (No. 71); the cell edges are 3.832, 5.262 and 11.278 Å and the angles 90.00°, 90.00° and 90.00°. The asymmetric unit holds Zr at (0.000, 0.000, 0.200), Mo at (0.000, 0.280, 0.500) and Pt at (0.000, 0.500, 0.119).

The calculation puts the formation enthalpy at 0 K at -0.444 eV/atom. As for the total energy: -8.917 eV/atom.

No. 16
Crystalline Nd5GeRh2 at its relaxed geometry. Source: Alexandria via LeMat-Bulk, functional PBE-GGA.

The structure belongs to space group I4/mcm (No. 140); the cell edges are 7.911, 7.911 and 13.488 Å and the angles 90.00°, 90.00° and 90.00°. The asymmetric unit holds Nd at (0.000, 0.000, 0.000), Nd at (0.163, 0.337, 0.141), Ge at (0.000, 0.000, 0.250) and Rh at (0.135, 0.365, 0.500).

The calculation puts the formation enthalpy at 0 K at -0.603 eV/atom. As for the total energy: -5.997 eV/atom.

No. 17
Crystalline Li2CoOs at its relaxed geometry. Source: Alexandria via LeMat-Bulk, functional PBE-GGA.

The structure belongs to space group Pmmm (No. 47); the cell edges are 2.558, 4.384 and 4.537 Å and the angles 90.00°, 90.00° and 90.00°. The asymmetric unit holds Li at (0.000, 0.000, 0.000), Li at (0.500, 0.500, 0.000), Co at (0.000, 0.500, 0.500) and Os at (0.500, 0.000, 0.500).

The calculation puts the formation enthalpy at 0 K at 0.159 eV/atom. As for the total energy: -5.382 eV/atom.

No. 18
Crystalline Cs2Pa2S5 at its relaxed geometry. Source: Alexandria via LeMat-Bulk, functional PBE-GGA.

The structure belongs to space group Cmce (No. 64); the cell edges are 17.025, 7.697 and 7.700 Å and the angles 90.00°, 90.00° and 90.00°. The asymmetric unit holds Cs at (0.207, 0.000, 0.000), Pa at (0.000, 0.161, 0.339), S at (0.000, 0.000, 0.000) and S at (0.101, 0.144, 0.643).

The calculation puts the raw formation energy at -14.073 eV/f.u. As for the total energy: -6.157 eV/atom.

No. 19
Crystalline Zr2Si2Cl at its relaxed geometry. Source: Alexandria via LeMat-Bulk, functional PBE-GGA.

The structure belongs to space group P4/mbm (No. 127); the cell edges are 7.279, 7.279 and 3.595 Å and the angles 90.00°, 90.00° and 90.00°. The asymmetric unit holds Zr at (0.177, 0.323, 0.000), Si at (0.115, 0.615, 0.500) and Cl at (0.000, 0.000, 0.000).

The calculation puts the raw formation energy at -3.613 eV/f.u. As for the total energy: -6.680 eV/atom.

No. 20
Crystalline Ge2Pb at its relaxed geometry. Source: Alexandria via LeMat-Bulk, functional PBE-GGA.

The structure belongs to space group Fd-3m (No. 227, origin choice 2); the cell edges are 8.257, 8.257 and 8.257 Å and the angles 90.00°, 90.00° and 90.00°. The asymmetric unit holds Ge at (0.000, 0.000, 0.000) and Pb at (0.125, 0.125, 0.625).

The calculation puts the formation enthalpy at 0 K at 0.223 eV/atom. As for the total energy: -4.092 eV/atom.

no.,total magnetic moment (Bohr magnetons per cell)
1,0.0
2,0.0
3,0.0
4,7.2
5,0.0
6,0.0
7,0.0
8,0.0
9,0.0
10,4.3
11,0.6
12,0.0
13,15.8
14,4.1
15,0.0
16,0.0
17,1.4
18,7.9
19,0.0
20,0.0